The following is a PBE calculation of a relaxed CaDySc2 crystal, from Alexandria.

Cell and atoms, written as CIF:
```
data_CaDySc2
_chemical_formula_sum 'Ca3 Dy3 Sc6'
_space_group_name_H-M_alt 'R -3 m'
_space_group_IT_number 166
_space_group_name_Hall '-R 3 2"'
_cell_length_a 3.4545
_cell_length_b 3.4545
_cell_length_c 34.3416
_cell_angle_alpha 90.00
_cell_angle_beta 90.00
_cell_angle_gamma 120.00
loop_
_atom_site_label
_atom_site_type_symbol
_atom_site_fract_x
_atom_site_fract_y
_atom_site_fract_z
Ca1 Ca 0.0000 0.0000 0.0000
Dy1 Dy 0.0000 0.0000 0.5000
Sc1 Sc 0.0000 0.0000 0.2451
```

Summary:
The calculation puts the energy of formation from the pure elements at 0.152 eV/atom. The calculation puts the density of states at the Fermi level at 1.855 states/eV/atom. The total energy comes out at -55.981 eV for the cell shown. For the polymorph energy (0 for the lowest one), the calculation gives 11 meV/atom. Its crystal system is trigonal.

---

The following is a PBE calculation of a relaxed LiTh3Se6 crystal, from Alexandria.

Cell and atoms, written as CIF:
```
data_LiTh3Se6
_chemical_formula_sum 'Li4 Th12 Se24'
_space_group_name_H-M_alt 'C m c 21'
_space_group_IT_number 36
_cell_length_a 11.379
_cell_length_b 13.910
_cell_length_c 7.047
_cell_angle_alpha 90.00
_cell_angle_beta 90.00
_cell_angle_gamma 90.00
loop_
_space_group_symop_operation_xyz
'x,y,z'
'-x,-y,z+1/2'
'-x,y,z'
'x,-y,z+1/2'
'x+1/2,y+1/2,z'
'-x+1/2,-y+1/2,z+1/2'
'-x+1/2,y+1/2,z'
'x+1/2,-y+1/2,z+1/2'
loop_
_atom_site_label
_atom_site_type_symbol
_atom_site_fract_x
_atom_site_fract_y
_atom_site_fract_z
Li1 Li 0.000 0.195 0.000
Th1 Th 0.000 0.392 0.368
Th2 Th 0.171 0.102 0.464
Se1 Se 0.000 0.027 0.174
Se2 Se 0.000 0.233 0.640
Se3 Se 0.162 0.470 0.666
Se4 Se 0.173 0.267 0.189
```

Summary:
The calculation puts the density of states at the Fermi level at 0.207 states/eV/atom. The total energy comes out at -246.527 eV for the cell shown. The value obtained for the energy relative to the elements, uncorrected is -16.6 eV per formula unit. Its crystal system is orthorhombic.

---

The following is a PBE calculation of a relaxed K3HPb crystal, from Alexandria.

Cell and atoms, written as CIF:
```
data_K3HPb
_chemical_formula_sum 'K3 H1 Pb1'
_space_group_name_H-M_alt 'P m -3 m'
_space_group_IT_number 221
_space_group_name_Hall '-P 4 2 3'
_cell_length_a 5.565
_cell_length_b 5.565
_cell_length_c 5.565
_cell_angle_alpha 90.00
_cell_angle_beta 90.00
_cell_angle_gamma 90.00
loop_
_atom_site_label
_atom_site_type_symbol
_atom_site_fract_x
_atom_site_fract_y
_atom_site_fract_z
K1 K 0.000 0.000 0.500
H1 H 0.000 0.000 0.000
Pb1 Pb 0.500 0.500 0.500
```

Summary:
The calculation puts the density of states at the Fermi level at 0.698 states/eV/atom. The total energy comes out at -10.664 eV for the cell shown. Its crystal system is cubic.

---

The following is a PBE calculation of a relaxed Gd3ErCl crystal, from Alexandria.

Cell and atoms, written as CIF:
```
data_Gd3ErCl
_chemical_formula_sum 'Gd3 Er1 Cl1'
_space_group_name_H-M_alt 'P m -3 m'
_space_group_IT_number 221
_space_group_name_Hall '-P 4 2 3'
_cell_length_a 5.330
_cell_length_b 5.330
_cell_length_c 5.330
_cell_angle_alpha 90.00
_cell_angle_beta 90.00
_cell_angle_gamma 90.00
loop_
_atom_site_label
_atom_site_type_symbol
_atom_site_fract_x
_atom_site_fract_y
_atom_site_fract_z
Gd1 Gd 0.000 0.000 0.500
Er1 Er 0.500 0.500 0.500
Cl1 Cl 0.000 0.000 0.000
```

Summary:
The calculation puts the density of states at the Fermi level at 1.181 states/eV/atom. The total energy comes out at -50.864 eV for the cell shown. The value obtained for the energy relative to the elements, uncorrected is -2.2 eV per formula unit. Its crystal system is cubic.

---

The following is a PBE calculation of a relaxed ZrMnSb2 crystal, from Alexandria.

Cell and atoms, written as CIF:
```
data_ZrMnSb2
_chemical_formula_sum 'Zr2 Mn2 Sb4'
_space_group_name_H-M_alt 'C 1 2/m 1'
_space_group_IT_number 12
_cell_length_a 6.997
_cell_length_b 4.048
_cell_length_c 7.160
_cell_angle_alpha 90.00
_cell_angle_beta 109.05
_cell_angle_gamma 90.00
loop_
_space_group_symop_operation_xyz
'x,y,z'
'-x,-y,-z'
'-x,y,-z'
'x,-y,z'
'x+1/2,y+1/2,z'
'-x+1/2,-y+1/2,-z'
'-x+1/2,y+1/2,-z'
'x+1/2,-y+1/2,z'
loop_
_atom_site_label
_atom_site_type_symbol
_atom_site_fract_x
_atom_site_fract_y
_atom_site_fract_z
Zr1 Zr 0.000 0.000 0.000
Mn1 Mn 0.000 0.500 0.500
Sb1 Sb 0.244 0.000 0.732
```

Summary:
The calculation puts the density of states at the Fermi level at 0.718 states/eV/atom. The total energy comes out at -52.952 eV for the cell shown. The value obtained for the energy relative to the elements, uncorrected is -0.5 eV per formula unit. Its crystal system is monoclinic.

---

The following is a PBE calculation of a relaxed KBi2H8 crystal, from Alexandria.

Cell and atoms, written as CIF:
```
data_KBi2H8
_chemical_formula_sum 'K2 Bi4 H16'
_space_group_name_H-M_alt 'C 1 2/m 1'
_space_group_IT_number 12
_cell_length_a 10.699
_cell_length_b 6.061
_cell_length_c 6.483
_cell_angle_alpha 90.00
_cell_angle_beta 104.57
_cell_angle_gamma 90.00
loop_
_space_group_symop_operation_xyz
'x,y,z'
'-x,-y,-z'
'-x,y,-z'
'x,-y,z'
'x+1/2,y+1/2,z'
'-x+1/2,-y+1/2,-z'
'-x+1/2,y+1/2,-z'
'x+1/2,-y+1/2,z'
loop_
_atom_site_label
_atom_site_type_symbol
_atom_site_fract_x
_atom_site_fract_y
_atom_site_fract_z
K1 K 0.000 0.000 0.000
Bi1 Bi 0.168 0.500 0.581
H1 H 0.020 0.500 0.960
H2 H 0.035 0.000 0.495
H3 H 0.154 0.290 0.782
```

Summary:
The calculation puts the density of states at the Fermi level at 0.209 states/eV/atom. The total energy comes out at -68.495 eV for the cell shown. Its crystal system is monoclinic.

---

The following is a PBE calculation of a relaxed ReSn2B crystal, from Alexandria.

Cell and atoms, written as CIF:
```
data_ReSn2B
_chemical_formula_sum 'Re4 Sn8 B4'
_space_group_name_H-M_alt 'I -4 2 d'
_space_group_IT_number 122
_space_group_name_Hall 'I -4 2bw'
_cell_length_a 6.919
_cell_length_b 6.919
_cell_length_c 6.023
_cell_angle_alpha 90.00
_cell_angle_beta 90.00
_cell_angle_gamma 90.00
loop_
_atom_site_label
_atom_site_type_symbol
_atom_site_fract_x
_atom_site_fract_y
_atom_site_fract_z
Re1 Re 0.000 0.000 0.000
Sn1 Sn 0.191 0.250 0.625
B1 B 0.000 0.000 0.500
```

Summary:
The calculation puts the energy of formation from the pure elements at 1.203 eV/atom. The calculation puts the density of states at the Fermi level at 0.678 states/eV/atom. The total energy comes out at -89.280 eV for the cell shown. Its crystal system is tetragonal.

---

The following is a PBE calculation of a relaxed La6ErTm8 crystal, from Alexandria.

Cell and atoms, written as CIF:
```
data_La6ErTm8
_chemical_formula_sum 'La18 Er3 Tm24'
_space_group_name_H-M_alt 'R -3'
_space_group_IT_number 148
_space_group_name_Hall '-R 3'
_cell_length_a 9.0215
_cell_length_b 9.0215
_cell_length_c 21.2419
_cell_angle_alpha 90.00
_cell_angle_beta 90.00
_cell_angle_gamma 120.00
loop_
_atom_site_label
_atom_site_type_symbol
_atom_site_fract_x
_atom_site_fract_y
_atom_site_fract_z
La1 La 0.0529 0.2489 0.2143
Er1 Er 0.0000 0.0000 0.5000
Tm1 Tm 0.0000 0.0000 0.0768
Tm2 Tm 0.0805 0.5723 0.3052
```

Summary:
The calculation puts the energy of formation from the pure elements at 0.116 eV/atom. The calculation puts the density of states at the Fermi level at 1.556 states/eV/atom. The total energy comes out at -204.466 eV for the cell shown. Its crystal system is trigonal.

---

The following is a PBE calculation of a relaxed ErVTc2 crystal, from Alexandria.

Cell and atoms, written as CIF:
```
data_ErVTc2
_chemical_formula_sum 'Er1 V1 Tc2'
_space_group_name_H-M_alt 'P 4/m m m'
_space_group_IT_number 123
_space_group_name_Hall '-P 4 2'
_cell_length_a 3.147
_cell_length_b 3.147
_cell_length_c 6.768
_cell_angle_alpha 90.00
_cell_angle_beta 90.00
_cell_angle_gamma 90.00
loop_
_atom_site_label
_atom_site_type_symbol
_atom_site_fract_x
_atom_site_fract_y
_atom_site_fract_z
Er1 Er 0.000 0.000 0.000
V1 V 0.000 0.000 0.500
Tc1 Tc 0.500 0.500 0.293
```

Summary:
The calculation puts the energy of formation from the pure elements at -0.075 eV/atom. The calculation puts the density of states at the Fermi level at 0.756 states/eV/atom. The total energy comes out at -34.714 eV for the cell shown. For the polymorph energy (0 for the lowest one), the calculation gives 0 meV/atom. Its crystal system is tetragonal.

---

The following is a PBE calculation of a relaxed Sr2LiTeO crystal, from Alexandria.

Cell and atoms, written as CIF:
```
data_Sr2LiTeO
_chemical_formula_sum 'Sr2 Li1 Te1 O1'
_space_group_name_H-M_alt 'P 4/m m m'
_space_group_IT_number 123
_space_group_name_Hall '-P 4 2'
_cell_length_a 5.258
_cell_length_b 5.258
_cell_length_c 4.258
_cell_angle_alpha 90.00
_cell_angle_beta 90.00
_cell_angle_gamma 90.00
loop_
_atom_site_label
_atom_site_type_symbol
_atom_site_fract_x
_atom_site_fract_y
_atom_site_fract_z
Sr1 Sr 0.000 0.500 0.000
Li1 Li 0.000 0.000 0.500
Te1 Te 0.500 0.500 0.500
O1 O 0.000 0.000 0.000
```

Summary:
The calculation puts the density of states at the Fermi level at 0.494 states/eV/atom. The total energy comes out at -21.371 eV for the cell shown. The value obtained for the energy relative to the elements, uncorrected is -8.0 eV per formula unit. Its crystal system is tetragonal.

---

The following is a PBE calculation of a relaxed Pu3Si2Pd5 crystal, from Alexandria.

Cell and atoms, written as CIF:
```
data_Pu3Si2Pd5
_chemical_formula_sum 'Pu12 Si8 Pd20'
_space_group_name_H-M_alt 'I b a m'
_space_group_IT_number 72
_space_group_name_Hall '-I 2 2c'
_cell_length_a 9.570
_cell_length_b 13.814
_cell_length_c 5.773
_cell_angle_alpha 90.00
_cell_angle_beta 90.00
_cell_angle_gamma 90.00
loop_
_atom_site_label
_atom_site_type_symbol
_atom_site_fract_x
_atom_site_fract_y
_atom_site_fract_z
Pu1 Pu 0.000 0.000 0.250
Pu2 Pu 0.237 0.145 0.000
Si1 Si 0.075 0.172 0.500
Pd1 Pd 0.000 0.301 0.250
Pd2 Pd 0.000 0.500 0.250
Pd3 Pd 0.213 0.414 0.000
```

Summary:
The calculation puts the density of states at the Fermi level at 2.987 states/eV/atom. The total energy comes out at -337.734 eV for the cell shown. The value obtained for the energy relative to the elements, uncorrected is -4.6 eV per formula unit. Its crystal system is orthorhombic.

---

The following is a PBE calculation of a relaxed RbPbSeN2 crystal, from Alexandria.

Cell and atoms, written as CIF:
```
data_RbPbSeN2
_chemical_formula_sum 'Rb1 Pb1 Se1 N2'
_space_group_name_H-M_alt 'P 4/m m m'
_space_group_IT_number 123
_space_group_name_Hall '-P 4 2'
_cell_length_a 4.812
_cell_length_b 4.812
_cell_length_c 5.674
_cell_angle_alpha 90.00
_cell_angle_beta 90.00
_cell_angle_gamma 90.00
loop_
_atom_site_label
_atom_site_type_symbol
_atom_site_fract_x
_atom_site_fract_y
_atom_site_fract_z
Rb1 Rb 0.000 0.000 0.000
Pb1 Pb 0.500 0.500 0.500
Se1 Se 0.500 0.500 0.000
N1 N 0.000 0.500 0.500
```

Summary:
The calculation puts the density of states at the Fermi level at 0.613 states/eV/atom. The total energy comes out at -19.497 eV for the cell shown. The value obtained for the energy relative to the elements, uncorrected is 5.3 eV per formula unit. For the polymorph energy (0 for the lowest one), the calculation gives 0 meV/atom. Its crystal system is tetragonal.